Model w:
The following is a GGA+U calculation of a relaxed Mo2ClO2 crystal, from Alexandria via LeMat-Bulk.

Cell lengths 6.022, 6.022, 6.022 Å; angles 138.48, 138.48, 60.18 degrees
Sites, in units of the cell vectors:
1 Mo 0.250 0.750 0.500
2 Mo 0.750 0.250 0.500
3 Cl 0.000 0.000 0.000
4 O 0.282 0.282 0.000
5 O 0.718 0.718 0.000

Density of states at the Fermi level ... 1.308 states/eV/cell
Calculated density ... 4.5 Mg/m³
Crystal system ... tetragonal

Model x:
The following is a GGA+U calculation of a relaxed Mo2ClO2 crystal, from Alexandria via LeMat-Bulk.

Cell lengths 7.089, 7.089, 3.076 Å; angles 90.00, 90.00, 90.00 degrees
Sites, in units of the cell vectors:
1 Mo 0.215 0.285 0.000
2 Mo 0.285 0.785 0.000
3 Mo 0.715 0.215 0.000
4 Mo 0.785 0.715 0.000
5 Cl 0.000 0.000 0.500
6 Cl 0.500 0.500 0.500
7 O 0.137 0.637 0.500
8 O 0.363 0.137 0.500
9 O 0.637 0.863 0.500
10 O 0.863 0.363 0.500

Density of states at the Fermi level ... 3.614 states/eV/cell
Calculated density ... 5.6 Mg/m³
Crystal system ... tetragonal

Most stable structure: model w

Model w:
The following is a GGA+U calculation of a relaxed MoP2ClO crystal, from Alexandria via LeMat-Bulk.

Cell lengths 4.832, 4.832, 3.849 Å; angles 90.00, 90.00, 90.00 degrees
Sites, in units of the cell vectors:
1 Mo 0.000 0.000 0.000
2 P 0.000 0.500 0.000
3 P 0.500 0.000 0.000
4 Cl 0.500 0.500 0.500
5 O 0.000 0.000 0.500

Density of states at the Fermi level ... 2.037 states/eV/cell
Calculated density ... 3.9 Mg/m³
Crystal system ... tetragonal

Model x:
The following is a GGA+U calculation of a relaxed MoP2ClO crystal, from Alexandria via LeMat-Bulk.

Cell lengths 3.897, 3.897, 5.582 Å; angles 90.00, 90.00, 90.00 degrees
Sites, in units of the cell vectors:
1 Mo 0.000 0.000 0.000
2 P 0.000 0.500 0.500
3 P 0.500 0.000 0.500
4 Cl 0.500 0.500 0.000
5 O 0.500 0.500 0.500

Density of states at the Fermi level ... 1.599 states/eV/cell
Calculated density ... 4.1 Mg/m³
Crystal system ... tetragonal

Most stable structure: model w

Model w:
The following is a GGA+U calculation of a relaxed MoPCl2O crystal, from Alexandria via LeMat-Bulk.

Cell lengths 4.805, 4.805, 4.981 Å; angles 90.00, 90.00, 90.00 degrees
Sites, in units of the cell vectors:
1 Mo 0.000 0.000 0.000
2 P 0.000 0.000 0.500
3 Cl 0.000 0.500 0.000
4 Cl 0.500 0.000 0.000
5 O 0.500 0.500 0.500

Density of states at the Fermi level ... 7.680 states/eV/cell
Calculated density ... 3.1 Mg/m³
Crystal system ... tetragonal

Model x:
The following is a GGA+U calculation of a relaxed MoPCl2O crystal, from Alexandria via LeMat-Bulk.

Cell lengths 5.625, 5.625, 3.354 Å; angles 90.00, 90.00, 90.00 degrees
Sites, in units of the cell vectors:
1 Mo 0.000 0.000 0.000
2 P 0.500 0.500 0.000
3 Cl 0.000 0.500 0.500
4 Cl 0.500 0.000 0.500
5 O 0.500 0.500 0.500

Density of states at the Fermi level ... 1.231 states/eV/cell
Calculated density ... 3.3 Mg/m³
Crystal system ... tetragonal

Most stable structure: model x